VASP calculation (PBE-GGA) on a relaxed structure of TaBe2NbH.

a = 4.519 Å, b = 4.519 Å, c = 3.246 Å
α = 90.00°, β = 90.00°, γ = 90.00°
Space group P4/mmm (No. 123)
Inequivalent atoms, fractional coordinates:
Ta1 0.000 0.000 0.000 x1
Be1 0.000 0.500 0.000 x2
Nb1 0.500 0.500 0.500 x1
H1 0.000 0.000 0.500 x1

VASP calculation (PBE-GGA) on a relaxed structure of Er4Cd2Hg.

a = 5.1772 Å, b = 5.1772 Å, c = 25.1124 Å
α = 90.00°, β = 90.00°, γ = 120.00°
Space group R-3m (No. 166, hexagonal axes)
Inequivalent atoms, fractional coordinates:
Er1 0.0000 0.0000 0.1200 x6
Er2 0.0000 0.0000 0.3722 x6
Cd1 0.0000 0.0000 0.2497 x6
Hg1 0.0000 0.0000 0.5000 x3

Results
ΔE_f = -1.25 eV/f.u.

VASP calculation (PBE-GGA) on a relaxed structure of SrGaPd.

a = 4.484 Å, b = 5.991 Å, c = 6.210 Å
α = 75.47°, β = 69.06°, γ = 68.16°
Space group P-1 (No. 2)
Inequivalent atoms, fractional coordinates:
Sr1 0.059 0.186 0.195 x2
Ga1 0.305 0.283 0.605 x2
Pd1 0.337 0.602 0.223 x2

Results
ΔE_f = -1.94 eV/f.u.

VASP calculation (PBE-GGA) on a relaxed structure of SrCa4Re.

a = 9.487 Å, b = 9.487 Å, c = 9.487 Å
α = 90.00°, β = 90.00°, γ = 90.00°
Space group F-43m (No. 216)
Inequivalent atoms, fractional coordinates:
Sr1 0.000 0.000 0.000 x4
Ca1 0.123 0.123 0.623 x16
Re1 0.250 0.250 0.250 x4

Results
ΔE_f = 6.06 eV/f.u.

VASP calculation (PBE-GGA) on a relaxed structure of CoAs.

a = 8.231 Å, b = 3.136 Å, c = 4.297 Å
α = 90.00°, β = 102.53°, γ = 90.00°
Space group C2/m (No. 12)
Inequivalent atoms, fractional coordinates:
Co1 0.103 0.000 0.313 x4
As1 0.121 0.500 0.781 x4

Results
ΔE_f = -0.06 eV/f.u.

VASP calculation (PBE-GGA) on a relaxed structure of La3Pm4In2.

a = 13.469 Å, b = 13.833 Å, c = 6.533 Å
α = 90.00°, β = 95.92°, γ = 90.00°
Space group C2/c (No. 15)
Inequivalent atoms, fractional coordinates:
La1 0.000 0.032 0.250 x4
La2 0.109 0.433 0.586 x8
Pm1 0.109 0.283 0.074 x8
Pm2 0.154 0.170 0.580 x8
In1 0.207 0.071 0.042 x8

Results
ΔE_f = -1.20 eV/f.u.

VASP calculation (PBE-GGA) on a relaxed structure of ZrCo2Ni.

a = 5.974 Å, b = 5.974 Å, c = 5.974 Å
α = 90.00°, β = 90.00°, γ = 90.00°
Space group Fm-3m (No. 225)
Inequivalent atoms, fractional coordinates:
Zr1 0.000 0.000 0.000 x4
Co1 0.250 0.250 0.250 x8
Ni1 0.000 0.000 0.500 x4

Results
ΔE_f = -0.23 eV/f.u.

VASP calculation (PBE-GGA) on a relaxed structure of TbCeTlRh.

a = 3.446 Å, b = 3.446 Å, c = 8.263 Å
α = 90.00°, β = 90.00°, γ = 90.00°
Space group P4mm (No. 99)
Inequivalent atoms, fractional coordinates:
Tb1 0.000 0.000 0.000 x1
Ce1 0.000 0.000 0.417 x1
Tl1 0.500 0.500 0.712 x1
Rh1 0.500 0.500 0.205 x1

Results
energy above the most stable polymorph in this dataset = 0.0 meV per atom
ΔE_f = -2.14 eV/f.u.

Number 1: DOS(E_F) 3.5 states/eV/cell, theoretical density 7.3 g cm⁻³, uncorrected energy -5.791 eV/atom. Number 2: DOS(E_F) 24.2 states/eV/cell, theoretical density 9.4 g cm⁻³, uncorrected energy -3.090 eV/atom. Number 3: DOS(E_F) 3.1 states/eV/cell, theoretical density 6.1 g cm⁻³, uncorrected energy -3.948 eV/atom. Number 4: DOS(E_F) 41.3 states/eV/cell, theoretical density 3.4 g cm⁻³, uncorrected energy -2.679 eV/atom. Number 5: DOS(E_F) 7.2 states/eV/cell, theoretical density 8.2 g cm⁻³, uncorrected energy -5.907 eV/atom. Number 6: DOS(E_F) 48.6 states/eV/cell, theoretical density 6.7 g cm⁻³, uncorrected energy -4.496 eV/atom. Number 7: DOS(E_F) 29.7 states/eV/cell, theoretical density 8.3 g cm⁻³, uncorrected energy -7.193 eV/atom. Number 8: DOS(E_F) 5.9 states/eV/cell, theoretical density 10.3 g cm⁻³, uncorrected energy -5.606 eV/atom.